VASP calculation (PBE) on a relaxed structure of SmGdSb2.

Structure (extended XYZ):
```
12
Lattice="4.443 0.000 0.000 -2.222 3.848 0.000 0.000 0.000 21.782" Properties=species:S:1:pos:R:3 pbc="T T T"
Sm 0.000 0.000 0.000
Sm 0.000 2.565 14.521
Sm 2.222 1.283 7.261
Gd 0.000 0.000 10.891
Gd 0.000 2.565 3.630
Gd 2.222 1.283 18.151
Sb 0.000 0.000 5.415
Sb 0.000 0.000 16.367
Sb 0.000 2.565 9.106
Sb 0.000 2.565 19.936
Sb 2.222 1.283 1.845
Sb 2.222 1.283 12.676
```

Calculated values
Magnetization: 7.1 μB/f.u.
Energy relative to the elements, uncorrected: -4.69 eV/f.u.

=====

VASP calculation (PBE) on a relaxed structure of K2Li.

Structure (extended XYZ):
```
12
Lattice="14.201 0.000 0.000 0.000 4.772 0.000 -2.220 0.000 9.767" Properties=species:S:1:pos:R:3 pbc="T T T"
K 0.000 0.000 0.000
K -0.099 0.000 4.734
K 1.092 2.386 8.159
K 3.836 0.000 2.397
K 7.101 2.386 0.000
K 7.002 2.386 4.734
K 8.193 0.000 8.159
K 10.937 2.386 2.397
Li 3.145 2.386 5.191
Li 4.183 0.000 6.661
Li 10.246 0.000 5.191
Li 11.283 2.386 6.661
```

Calculated values
Magnetization: 0.0 μB/f.u.
Calculated formation energy: 10.49 kJ per mole of atoms

=====

| no. | density of states at the Fermi level (states/eV per cell) |
| --- | --- |
| 1 | 5.2 |
| 2 | 6.3 |